Below is an optimized crystal structure of La3Nd2Hg4, with properties calculated at the PBE-GGA level.

The total energy comes out at -3.15 eV/atom. The density of states at the Fermi level is 11.04 states/eV/f.u. For the energy above the lowest structure with this stoichiometry, the calculation gives 94 meV per atom. The calculation puts the calculated formation energy at -271 kJ/mol of formula units. The total magnetization comes out at 0.00 μB per formula unit.

The structure belongs to space group Cmce (No. 64); the cell edges are 7.133, 19.080 and 8.400 Å and the angles 90.00°, 90.00° and 90.00°. Symmetry generates all atoms from La at (0.000, 0.000, 0.000), La at (0.250, 0.241, 0.250), Nd at (0.000, 0.093, 0.581), Hg at (0.000, 0.162, 0.969) and Hg at (0.250, 0.071, 0.250).